# Na3VRh | Alexandria | GGA-PBE | relaxed
# * ΔE_f: 1.575 eV/atom
# * SG: Pm-3m (221)
# * E above lowest polymorph: 412 meV per atom
# * calculated total energy: -2.5109 eV per atom
data_Na3VRh
_chemical_formula_sum 'Na3 V1 Rh1'
_cell_length_a 5.366
_cell_length_b 5.366
_cell_length_c 5.366
_cell_angle_alpha 90.00
_cell_angle_beta 90.00
_cell_angle_gamma 90.00
_space_group_name_H-M_alt 'P 1'
_space_group_IT_number 1
loop_
_space_group_symop_operation_xyz
'x,y,z'
loop_
_atom_site_label
_atom_site_fract_x
_atom_site_fract_y
_atom_site_fract_z
_atom_site_occupancy
Na1 0.000 0.500 0.000 1
Na2 0.000 0.000 0.500 1
Na3 0.500 0.000 0.000 1
Rh1 0.500 0.500 0.500 1
V1 0.000 0.000 0.000 1